Below is P2O2F after structural relaxation, with properties calculated at the PBE level.

a b c (Å): 4.179 4.179 3.595
angles (deg): 90.00 90.00 90.00
Positions (direct):
P  0.000  0.000  0.000
P  0.500  0.500  0.000
O  0.000  0.500  0.500
O  0.500  0.000  0.500
F  0.000  0.000  0.500

## Properties
D(E_F) (states/eV per cell): 3.895
Calculated total energy (eV/cell): -17.42
Formation energy (no corrections) (eV/atom): 1.04

=====

Below is POF after structural relaxation, with properties calculated at the PBE level.

a b c (Å): 2.633 4.708 4.961
angles (deg): 63.08 78.46 89.51
Positions (direct):
P  0.000  0.000  0.000
O  0.526  0.813  0.940
F  0.123  0.306  0.661

## Properties
D(E_F) (states/eV per cell): 0.000
Calculated total energy (eV/cell): -17.55
Formation energy (no corrections) (eV/atom): -1.77

=====

Below is POF after structural relaxation, with properties calculated at the PBE level.

a b c (Å): 4.670 2.633 4.870
angles (deg): 90.00 118.35 90.00
Positions (direct):
P  0.000  0.000  0.000
O  0.924  0.500  0.171
F  0.653  0.000  0.686

## Properties
D(E_F) (states/eV per cell): 0.000
Calculated total energy (eV/cell): -17.55
Formation energy (no corrections) (eV/atom): -1.77

=====

Below is POF2 after structural relaxation, with properties calculated at the PBE level.

a b c (Å): 7.536 7.536 7.536
angles (deg): 153.85 153.85 37.32
Positions (direct):
P  0.000  0.000  0.000
P  0.750  0.250  0.500
O  0.250  0.750  0.500
O  0.500  0.500  0.000
F  0.088  0.625  0.963
F  0.375  0.338  0.463
F  0.662  0.125  0.037
F  0.875  0.912  0.537

## Properties
D(E_F) (states/eV per cell): 0.206
Calculated total energy (eV/cell): -30.47
ΔE to the lowest computed polymorph (eV per atom): 1.693
Formation energy (no corrections) (eV/atom): -0.28

=====

Below is PO2F after structural relaxation, with properties calculated at the PBE level.

a b c (Å): 4.932 4.932 4.932
angles (deg): 120.00 120.00 90.00
Positions (direct):
P  0.000  0.000  0.000
P  0.750  0.250  0.500
O  0.375  0.123  0.248
O  0.873  0.625  0.748
O  0.875  0.127  0.752
O  0.877  0.125  0.252
F  0.250  0.750  0.500
F  0.500  0.500  0.000

## Properties
D(E_F) (states/eV per cell): 0.000
Calculated total energy (eV/cell): -45.89
Formation energy (no corrections) (eV/atom): -1.44

=====

Below is POF2 after structural relaxation, with properties calculated at the PBE level.

a b c (Å): 5.270 5.270 3.257
angles (deg): 106.44 106.44 51.90
Positions (direct):
P  0.000  0.000  0.000
O  0.883  0.117  0.500
F  0.093  0.640  0.878
F  0.360  0.907  0.122

## Properties
D(E_F) (states/eV per cell): 0.714
Calculated total energy (eV/cell): -21.99
ΔE to the lowest computed polymorph (eV per atom): 0.005
Formation energy (no corrections) (eV/atom): -1.97

=====

Below is P2O2F after structural relaxation, with properties calculated at the PBE level.

a b c (Å): 3.955 3.955 3.927
angles (deg): 90.00 90.00 90.00
Positions (direct):
P  0.000  0.500  0.000
P  0.500  0.000  0.000
O  0.000  0.000  0.000
O  0.000  0.000  0.500
F  0.500  0.500  0.500

## Properties
D(E_F) (states/eV per cell): 2.568
Calculated total energy (eV/cell): -19.56
Formation energy (no corrections) (eV/atom): 0.61

=====

Below is POF after structural relaxation, with properties calculated at the PBE level.

a b c (Å): 4.456 4.594 5.768
angles (deg): 79.41 89.95 88.77
Positions (direct):
P  0.000  0.000  0.000
P  0.496  0.220  0.653
O  0.194  0.245  0.808
O  0.700  0.975  0.845
F  0.386  0.976  0.504
F  0.879  0.244  0.149

## Properties
D(E_F) (states/eV per cell): 0.000
Calculated total energy (eV/cell): -35.95
Formation energy (no corrections) (eV/atom): -1.91

=====

Below is PO2F after structural relaxation, with properties calculated at the PBE level.

a b c (Å): 3.563 3.563 3.563
angles (deg): 60.00 60.00 60.00
Positions (direct):
P  0.000  0.000  0.000
O  0.250  0.250  0.250
O  0.750  0.750  0.750
F  0.500  0.500  0.500

## Properties
D(E_F) (states/eV per cell): 2.009
Calculated total energy (eV/cell): -16.20
Formation energy (no corrections) (eV/atom): 0.25

=====

Below is POF3 after structural relaxation, with properties calculated at the PBE level.

a b c (Å): 5.508 5.508 6.267
angles (deg): 90.00 90.00 120.00
Positions (direct):
P  0.333  0.667  0.313
P  0.667  0.333  0.687
O  0.333  0.667  0.545
O  0.667  0.333  0.455
F  0.188  0.377  0.202
F  0.188  0.812  0.202
F  0.377  0.188  0.798
F  0.623  0.812  0.202
F  0.812  0.188  0.798
F  0.812  0.623  0.798

## Properties
D(E_F) (states/eV per cell): 0.000
Calculated total energy (eV/cell): -56.40
ΔE to the lowest computed polymorph (eV per atom): 0.000
Formation energy (no corrections) (eV/atom): -2.44

=====

Below is POF2 after structural relaxation, with properties calculated at the PBE level.

a b c (Å): 9.210 9.210 9.210
angles (deg): 16.37 16.37 16.37
Positions (direct):
P  0.000  0.000  0.000
O  0.500  0.500  0.500
F  0.060  0.060  0.060
F  0.940  0.940  0.940

## Properties
D(E_F) (states/eV per cell): 1.395
Calculated total energy (eV/cell): -16.00
ΔE to the lowest computed polymorph (eV per atom): 1.501
Formation energy (no corrections) (eV/atom): -0.47

=====

Below is POF3 after structural relaxation, with properties calculated at the PBE level.

a b c (Å): 5.043 5.681 5.683
angles (deg): 90.00 90.66 90.00
Positions (direct):
P  0.189  0.250  0.177
P  0.811  0.750  0.823
O  0.119  0.250  0.928
O  0.881  0.750  0.072
F  0.041  0.750  0.646
F  0.359  0.040  0.266
F  0.359  0.460  0.266
F  0.641  0.540  0.734
F  0.641  0.960  0.734
F  0.959  0.250  0.354

## Properties
D(E_F) (states/eV per cell): 0.000
Calculated total energy (eV/cell): -56.35
ΔE to the lowest computed polymorph (eV per atom): 0.005
Formation energy (no corrections) (eV/atom): -2.44